An optimized crystal structure of La4RhSe3. Source: Alexandria via LeMat-Bulk, functional PBE.

```
La4RhSe3
1.0
4.367 -6.128 0.000
4.367 6.128 0.000
0.000 0.000 4.236
La Rh Se
4 1 3
Direct
0.232 0.232 0.500
0.246 0.754 0.000
0.754 0.246 0.000
0.768 0.768 0.500
0.000 0.000 0.000
0.000 0.500 0.500
0.500 0.000 0.500
0.500 0.500 0.000
```

Output
**Raw formation energy**: -1.653 eV per atom
**Magnetization**: 0.000 μB per cell
**Space group**: Cmmm (65)
**Density of states at the Fermi level**: 6.74 states/eV/cell